1.
A relaxed OsPt2N crystal. Source: Alexandria via LeMat-Bulk, functional PBE.

a = 4.748 Å, b = 4.748 Å, c = 6.839 Å
α = 69.69°, β = 69.69°, γ = 90.00°
Positions (direct):
Os 0.000 0.000 0.000
Os 0.750 0.250 0.500
Pt 0.533 0.125 0.250
Pt 0.217 0.625 0.250
Pt 0.375 0.467 0.750
Pt 0.875 0.783 0.750
N 0.500 0.500 0.000
N 0.250 0.750 0.500

Density: 14.70 g cm⁻³
Raw formation energy: 28.7 kcal/mol of atoms
Magnetic moment: 0.0 μB per cell
Space-group type: I-42d
DOS at the Fermi energy: 8.60 states/eV/cell


2.
A relaxed Li4Er3InSe8 crystal. Source: Alexandria via LeMat-Bulk, functional PBE.

a = 8.030 Å, b = 7.995 Å, c = 8.029 Å
α = 120.17°, β = 120.00°, γ = 90.00°
Positions (direct):
Li 0.500 0.000 0.000
Li 0.500 0.000 0.500
Li 0.000 0.000 0.000
Li 0.000 0.000 0.500
Er 0.500 0.500 0.000
Er 0.500 0.500 0.500
Er 0.000 0.500 0.500
In 0.000 0.500 0.000
Se 0.249 0.752 0.003
Se 0.249 0.752 0.497
Se 0.250 0.250 0.499
Se 0.755 0.752 0.003
Se 0.245 0.248 0.997
Se 0.750 0.750 0.501
Se 0.751 0.248 0.503
Se 0.751 0.248 0.997

Density: 5.83 g cm⁻³
Raw formation energy: -33.6 kcal/mol of atoms
Magnetic moment: 0.0 μB per cell
Space-group type: R-3m
DOS at the Fermi energy: 0.01 states/eV/cell


3.
A relaxed SrRu2W crystal. Source: Alexandria via LeMat-Bulk, functional PBE.

a = 7.363 Å, b = 7.363 Å, c = 6.094 Å
α = 52.84°, β = 52.84°, γ = 90.00°
Positions (direct):
Ru 0.690 0.125 0.250
Ru 0.060 0.625 0.250
Ru 0.375 0.310 0.750
Ru 0.875 0.940 0.750
W 0.000 0.000 0.000
W 0.750 0.250 0.500
Sr 0.500 0.500 0.000
Sr 0.250 0.750 0.500

Density: 9.16 g cm⁻³
Magnetic moment: 0.0 μB per cell
Distance to the lowest polymorph of the same formula: 462 meV per atom
Space-group type: I-42d
DOS at the Fermi energy: 3.60 states/eV/cell


4.
A relaxed AlTlNF2 crystal. Source: Alexandria via LeMat-Bulk, functional PBE.

a = 4.617 Å, b = 4.617 Å, c = 4.201 Å
α = 90.00°, β = 90.00°, γ = 90.00°
Positions (direct):
Tl 0.000 0.000 0.000
N 0.000 0.000 0.500
Al 0.500 0.500 0.500
F 0.000 0.500 0.000
F 0.500 0.000 0.000

Density: 5.26 g cm⁻³
Raw formation energy: -4.1 kcal/mol of atoms
Magnetic moment: 1.0 μB per cell
Distance to the lowest polymorph of the same formula: 1317 meV per atom
Space-group type: P4/mmm
DOS at the Fermi energy: 1.97 states/eV/cell


5.
A relaxed Ho5ScIn4 crystal. Source: Alexandria via LeMat-Bulk, functional PBE.

a = 3.709 Å, b = 3.709 Å, c = 19.382 Å
α = 90.00°, β = 90.00°, γ = 90.00°
Positions (direct):
Ho 0.500 0.500 0.104
Ho 0.500 0.500 0.303
Ho 0.500 0.500 0.500
Ho 0.500 0.500 0.697
Ho 0.500 0.500 0.896
Sc 0.000 0.000 0.000
In 0.000 0.000 0.203
In 0.000 0.000 0.401
In 0.000 0.000 0.599
In 0.000 0.000 0.797

Density: 8.28 g cm⁻³
Final energy: -4.38 eV/atom
Magnetic moment: 0.0 μB per cell
Space-group type: P4/mmm
DOS at the Fermi energy: 7.26 states/eV/cell


6.
A relaxed Tb3NdY6 crystal. Source: Alexandria via LeMat-Bulk, functional PBE.

a = 6.286 Å, b = 10.989 Å, c = 10.989 Å
α = 119.62°, β = 90.00°, γ = 90.00°
Positions (direct):
Tb 0.454 0.936 0.716
Tb 0.954 0.716 0.936
Tb 0.072 0.389 0.611
Tb 0.572 0.611 0.389
Tb 0.954 0.064 0.284
Tb 0.454 0.284 0.064
Nd 0.154 0.205 0.795
Nd 0.654 0.795 0.205
Y 0.036 0.710 0.619
Y 0.536 0.619 0.710
Y 0.364 0.539 0.957
Y 0.864 0.957 0.539
Y 0.401 0.954 0.046
Y 0.651 0.281 0.719
Y 0.151 0.719 0.281
Y 0.901 0.046 0.954
Y 0.364 0.043 0.461
Y 0.864 0.461 0.043
Y 0.036 0.381 0.290
Y 0.536 0.290 0.381

Density: 5.81 g cm⁻³
Magnetic moment: 0.0 μB per cell
Distance to the lowest polymorph of the same formula: 30 meV per atom
Space-group type: Cmc2_1
DOS at the Fermi energy: 30.07 states/eV/cell


7.
A relaxed HfIrPt3 crystal. Source: Alexandria via LeMat-Bulk, functional PBE.

a = 4.798 Å, b = 4.798 Å, c = 4.798 Å
α = 90.00°, β = 90.00°, γ = 90.00°
Positions (direct):
Ir 0.000 0.000 0.000
Hf 0.500 0.500 0.500
Pt 0.000 0.500 0.000
Pt 0.000 0.000 0.500
Pt 0.500 0.000 0.000

Density: 14.37 g cm⁻³
Magnetic moment: 0.5 μB per cell
Distance to the lowest polymorph of the same formula: 0 meV per atom
Space-group type: Pm-3m
DOS at the Fermi energy: 8.83 states/eV/cell


8.
A relaxed ThAlOs crystal. Source: Alexandria via LeMat-Bulk, functional PBE.

a = 3.251 Å, b = 3.251 Å, c = 6.169 Å
α = 105.28°, β = 105.28°, γ = 90.00°
Positions (direct):
Os 0.689 0.689 0.377
Al 0.297 0.297 0.594
Th 0.014 0.014 0.029

Density: 12.33 g cm⁻³
Final energy: -7.75 eV/atom
Magnetic moment: 0.0 μB per cell
Space-group type: I4mm
DOS at the Fermi energy: 2.24 states/eV/cell


9.
A relaxed CaCoC crystal. Source: Alexandria via LeMat-Bulk, functional PBE.

a = 3.886 Å, b = 8.674 Å, c = 5.982 Å
α = 90.00°, β = 122.13°, γ = 90.00°
Positions (direct):
Ca 0.143 0.191 0.240
Ca 0.143 0.809 0.240
Ca 0.143 0.691 0.740
Ca 0.143 0.309 0.740
Co 0.441 0.000 0.994
Co 0.441 0.500 0.494
Co 0.689 0.000 0.694
Co 0.689 0.500 0.194
C 0.746 0.000 0.367
C 0.746 0.500 0.867
C 0.124 0.000 0.609
C 0.124 0.500 0.109

Density: 4.32 g cm⁻³
Magnetic moment: 0.9 μB per cell
Distance to the lowest polymorph of the same formula: 105 meV per atom
Space-group type: Cm
DOS at the Fermi energy: 8.65 states/eV/cell


10.
A relaxed In2IrSe crystal. Source: Alexandria via LeMat-Bulk, functional PBE.

a = 4.394 Å, b = 3.927 Å, c = 5.272 Å
α = 68.13°, β = 90.00°, γ = 90.00°
Positions (direct):
In 0.000 0.976 0.923
In 0.500 0.275 0.331
Ir 0.000 0.690 0.482
Se 0.500 0.559 0.764

Density: 9.85 g cm⁻³
Raw formation energy: -0.2 kcal/mol of atoms
Magnetic moment: 0.0 μB per cell
Space-group type: Pm
DOS at the Fermi energy: 2.48 states/eV/cell


11.
A relaxed ReSiSbI2 crystal. Source: Alexandria via LeMat-Bulk, functional PBE.

a = 5.371 Å, b = 5.371 Å, c = 5.548 Å
α = 90.00°, β = 90.00°, γ = 90.00°
Positions (direct):
I 0.000 0.500 0.000
I 0.500 0.000 0.000
Re 0.500 0.500 0.500
Si 0.000 0.000 0.000
Sb 0.000 0.000 0.500

Density: 6.12 g cm⁻³
Raw formation energy: 34.4 kcal/mol of atoms
Magnetic moment: 4.4 μB per cell
Distance to the lowest polymorph of the same formula: 312 meV per atom
Space-group type: P4/mmm
DOS at the Fermi energy: 2.01 states/eV/cell


12.
A relaxed Tm4MnPb crystal. Source: Alexandria via LeMat-Bulk, functional PBE.

a = 5.866 Å, b = 7.979 Å, c = 7.979 Å
α = 113.67°, β = 100.58°, γ = 100.58°
Positions (direct):
Tm 0.865 0.655 0.795
Tm 0.054 0.945 0.273
Tm 0.635 0.205 0.345
Tm 0.446 0.727 0.055
Tm 0.554 0.273 0.945
Tm 0.365 0.795 0.655
Tm 0.946 0.055 0.727
Tm 0.135 0.345 0.205
Mn 0.250 0.000 0.000
Mn 0.750 0.000 0.000
Pb 0.750 0.630 0.370
Pb 0.250 0.370 0.630

Density: 9.67 g cm⁻³
Final energy: -5.29 eV/atom
Magnetic moment: 1.2 μB per cell
Space-group type: C2/c
DOS at the Fermi energy: 12.12 states/eV/cell


13.
A relaxed LaCu2Ir crystal. Source: Alexandria via LeMat-Bulk, functional PBE.

a = 3.568 Å, b = 3.568 Å, c = 5.658 Å
α = 90.00°, β = 90.00°, γ = 90.01°
Positions (direct):
Cu 0.000 0.000 0.043
Cu 0.000 0.000 0.457
Ir 0.500 0.500 0.250
La 0.500 0.500 0.750

Density: 10.56 g cm⁻³
Magnetic moment: 0.1 μB per cell
Distance to the lowest polymorph of the same formula: 306 meV per atom
Space-group type: P4/mmm
DOS at the Fermi energy: 2.41 states/eV/cell


14.
A relaxed Ag3SeF2 crystal. Source: Alexandria via LeMat-Bulk, functional PBE.

a = 5.286 Å, b = 7.406 Å, c = 10.942 Å
α = 90.00°, β = 90.00°, γ = 90.05°
Positions (direct):
Ag 0.250 0.646 0.585
Ag 0.250 0.146 0.915
Ag 0.251 0.620 0.919
Ag 0.251 0.120 0.581
Ag 0.250 0.642 0.256
Ag 0.250 0.142 0.244
Ag 0.750 0.858 0.756
Ag 0.750 0.358 0.744
Ag 0.749 0.880 0.419
Ag 0.749 0.380 0.081
Ag 0.750 0.854 0.085
Ag 0.750 0.354 0.415
Se 0.250 0.882 0.073
Se 0.250 0.382 0.427
Se 0.750 0.618 0.573
Se 0.750 0.118 0.927
F 0.250 0.882 0.717
F 0.250 0.382 0.783
F 0.250 0.896 0.389
F 0.250 0.396 0.111
F 0.750 0.604 0.889
F 0.750 0.104 0.611
F 0.750 0.618 0.217
F 0.750 0.118 0.283

Density: 6.83 g cm⁻³
Raw formation energy: -16.0 kcal/mol of atoms
Magnetic moment: 0.0 μB per cell
Distance to the lowest polymorph of the same formula: 18 meV per atom
Space-group type: P2_1/c
DOS at the Fermi energy: 6.27 states/eV/cell


15.
A relaxed La8PIr3I4 crystal. Source: Alexandria via LeMat-Bulk, functional PBE.

a = 8.609 Å, b = 9.556 Å, c = 8.609 Å
α = 116.77°, β = 120.00°, γ = 90.00°
Positions (direct):
La 0.234 0.686 0.952
La 0.234 0.686 0.468
La 0.271 0.313 0.542
La 0.718 0.686 0.952
La 0.282 0.314 0.048
La 0.729 0.687 0.458
La 0.766 0.314 0.532
La 0.766 0.314 0.048
P 0.000 0.500 0.000
Ir 0.500 0.500 0.000
Ir 0.500 0.500 0.500
Ir 0.000 0.500 0.500
I 0.500 0.000 0.000
I 0.500 0.000 0.500
I 0.000 0.000 0.000
I 0.000 0.000 0.500

Density: 7.06 g cm⁻³
Raw formation energy: -26.5 kcal/mol of atoms
Magnetic moment: 0.0 μB per cell
Space-group type: R-3m
DOS at the Fermi energy: 10.93 states/eV/cell


16.
A relaxed HRuPt2 crystal. Source: Alexandria via LeMat-Bulk, functional PBE.

a = 6.115 Å, b = 6.115 Å, c = 5.089 Å
α = 53.07°, β = 53.07°, γ = 90.00°
Positions (direct):
Ru 0.000 0.000 0.000
Ru 0.750 0.250 0.500
Pt 0.525 0.125 0.250
Pt 0.225 0.625 0.250
Pt 0.375 0.475 0.750
Pt 0.875 0.775 0.750
H 0.500 0.500 0.000
H 0.250 0.750 0.500

Density: 16.29 g cm⁻³
Magnetic moment: 0.0 μB per cell
Distance to the lowest polymorph of the same formula: 0 meV per atom
Space-group type: I-42d
DOS at the Fermi energy: 12.80 states/eV/cell


17.
A relaxed TbSm2Te crystal. Source: Alexandria via LeMat-Bulk, functional PBE.

a = 3.963 Å, b = 3.963 Å, c = 10.107 Å
α = 78.69°, β = 78.69°, γ = 60.00°
Positions (direct):
Tb 0.500 0.500 0.501
Sm 0.072 0.072 0.783
Sm 0.261 0.261 0.216
Te 0.667 0.667 0.000

Density: 7.28 g cm⁻³
Raw formation energy: -12.6 kcal/mol of atoms
Magnetic moment: 0.2 μB per cell
Distance to the lowest polymorph of the same formula: 126 meV per atom
Space-group type: R3m
DOS at the Fermi energy: 4.83 states/eV/cell


18.
A relaxed TbPrEr3 crystal. Source: Alexandria via LeMat-Bulk, functional PBE.

a = 9.572 Å, b = 5.681 Å, c = 6.260 Å
α = 90.00°, β = 109.02°, γ = 90.00°
Positions (direct):
Tb 0.599 0.950 0.966
Tb 0.401 0.450 0.034
Pr 0.200 0.450 0.431
Pr 0.800 0.950 0.569
Er 0.201 0.950 0.767
Er 0.000 0.450 0.836
Er 0.599 0.450 0.635
Er 0.401 0.950 0.365
Er 0.000 0.950 0.164
Er 0.799 0.450 0.233

Density: 8.27 g cm⁻³
Magnetic moment: 0.0 μB per cell
Distance to the lowest polymorph of the same formula: 0 meV per atom
Space-group type: P2_1/m
DOS at the Fermi energy: 19.26 states/eV/cell


19.
A relaxed K2BBr6 crystal. Source: Alexandria via LeMat-Bulk, functional PBE.

a = 7.591 Å, b = 8.849 Å, c = 9.088 Å
α = 90.00°, β = 93.87°, γ = 90.00°
Positions (direct):
K 0.937 0.440 0.745
K 0.563 0.940 0.755
K 0.437 0.060 0.245
K 0.063 0.560 0.255
B 0.500 0.500 0.000
B 0.000 0.000 0.500
Br 0.964 0.010 0.300
Br 0.780 0.705 0.502
Br 0.829 0.720 0.976
Br 0.671 0.220 0.524
Br 0.720 0.205 0.998
Br 0.536 0.510 0.200
Br 0.036 0.990 0.700
Br 0.220 0.295 0.498
Br 0.171 0.280 0.024
Br 0.329 0.780 0.476
Br 0.280 0.795 0.002
Br 0.464 0.490 0.800

Density: 3.10 g cm⁻³
Raw formation energy: -14.8 kcal/mol of atoms
Magnetic moment: 2.1 μB per cell
Space-group type: P2_1/c
DOS at the Fermi energy: 9.35 states/eV/cell